The following is a PBE-GGA calculation of an optimized crystal structure of La7Tb2Ho3, from Alexandria via LeMat-Bulk.

POSCAR file:
```
La7Tb2Ho3
1.0
-2.9379 -1.7908 -0.9883
2.4300 -5.4551 2.6609
-5.8930 0.0845 17.3653
La Ho Tb
7 3 2
Cartesian
-2.3571 -1.1743 2.6515 La
0.3634 -3.0153 4.3832 La
-2.4872 -5.0605 10.0799 La
-3.8265 -2.3554 15.6430 La
-4.0438 -5.9871 16.3865 La
-3.9137 -2.1009 8.9580 La
0.0000 0.0000 0.0000 La
-0.2539 -3.6230 0.8363 Ho
-1.6998 -0.6269 6.1890 Ho
-1.7632 -4.7437 13.8373 Ho
-1.9289 -4.2050 6.8702 Tb
-4.4720 -2.9564 12.1677 Tb
```

Computed properties:
ΔH_f (0 K), meV per atom: 65
SG: P2/m (10)

The following is a PBE-GGA calculation of an optimized crystal structure of LiHo2Si, from Alexandria via LeMat-Bulk.

POSCAR file:
```
LiHo2Si
1.0
3.5917 0.0000 0.0000
1.7958 3.1105 0.0000
1.7958 1.0368 10.2805
Si Ho Li
1 2 1
Cartesian
3.5917 2.0737 5.1403 Si
1.7958 1.0368 7.0426 Ho
5.3875 3.1105 3.2379 Ho
0.0000 0.0000 0.0000 Li
```

Computed properties:
Formation energy without anion corrections, eV/atom: -0.005
SG: R-3m (166)

The following is a PBE-GGA calculation of an optimized crystal structure of Cd2FeTc, from Alexandria via LeMat-Bulk.

POSCAR file:
```
Cd2FeTc
1.0
2.7451 -0.0072 0.0000
-0.7230 2.6481 0.0000
0.0000 0.0000 9.1868
Fe Cd Tc
1 2 1
Cartesian
1.0110 1.3205 2.2967 Fe
0.0000 0.0000 0.0680 Cd
0.0000 0.0000 4.5254 Cd
1.0110 1.3205 6.8901 Tc
```

Computed properties:
Energy above the lowest structure with this stoichiometry, eV/f.u.: 1.08
ΔH_f (0 K), meV per atom: 462
SG: Cmmm (65)

The following is a PBE-GGA calculation of an optimized crystal structure of BaTlI2, from Alexandria via LeMat-Bulk.

POSCAR file:
```
BaTlI2
1.0
5.0339 0.0000 0.0000
2.5170 4.3595 0.0000
2.5170 1.4532 10.6653
I Tl Ba
2 1 1
Cartesian
2.5170 1.4532 7.3460 I
7.5509 4.3595 3.3193 I
5.0339 2.9063 5.3327 Tl
0.0000 0.0000 0.0000 Ba
```

Computed properties:
Energy above the lowest structure with this stoichiometry, eV/f.u.: 0.87
Formation energy without anion corrections, eV/atom: -0.803
SG: R-3m (166)

The following is a PBE-GGA calculation of an optimized crystal structure of PW, from Alexandria via LeMat-Bulk.

POSCAR file:
```
PW
1.0
1.5628 4.2452 -0.0015
-1.5628 4.2452 -0.0015
0.0000 1.2119 4.2607
P W
2 2
Cartesian
0.0000 5.4788 0.7162 P
0.0000 4.2236 3.5415 P
0.0000 7.8820 1.3063 W
0.0000 1.8204 2.9514 W
```

Computed properties:
ΔH_f (0 K), meV per atom: -240
SG: C2/m (12)

The following is a PBE-GGA calculation of an optimized crystal structure of LaCd2MoAs, from Alexandria via LeMat-Bulk.

POSCAR file:
```
LaCd2MoAs
1.0
-3.2432 -0.5991 4.8082
-0.0592 -5.3882 -0.7113
4.8450 -0.4768 3.2086
As Cd La Mo
1 2 1 1
Cartesian
-0.0296 -2.6941 -0.3557 As
2.4225 -0.2384 1.6043 Cd
-1.6216 -0.2996 2.4041 Cd
0.0000 0.0000 0.0000 La
0.7713 -3.2321 3.6527 Mo
```

Computed properties:
ΔH_f (0 K), meV per atom: 1709
SG: P4/mmm (123)

The following is a PBE-GGA calculation of an optimized crystal structure of Ca2BiPb2, from Alexandria via LeMat-Bulk.

POSCAR file:
```
Ca2BiPb2
1.0
-4.7299 5.6086 -3.9631
-6.8086 -3.2008 3.5962
0.4985 2.9300 3.5515
Pb Bi Ca
4 2 4
Cartesian
-3.1363 -0.4646 0.8235 Pb
-8.4022 2.8725 -1.1904 Pb
-7.6859 -0.7069 1.6620 Pb
-3.8526 3.1148 -2.0289 Pb
-5.7693 1.2039 -0.1835 Bi
0.0000 0.0000 0.0000 Bi
-2.4743 2.7496 1.0983 Ca
-8.5657 2.5883 2.0863 Ca
-5.8944 5.0578 -0.3260 Ca
-5.1456 0.2800 3.5106 Ca
```

Computed properties:
Energy above the lowest structure with this stoichiometry, eV/f.u.: 0.00
ΔH_f (0 K), meV per atom: -453
SG: P4/mbm (127)

The following is a PBE-GGA calculation of an optimized crystal structure of Tm3MgCo8, from Alexandria via LeMat-Bulk.

POSCAR file:
```
Tm3MgCo8
1.0
-3.6827 2.5084 -2.2249
-1.0063 -0.8008 -4.8115
-6.8160 -5.3017 -0.2698
Tm Co Mg
3 8 1
Cartesian
-5.7054 -1.7444 -3.6717 Tm
-7.7099 -3.9848 -2.8797 Tm
-4.7457 1.6443 -7.0141 Tm
-3.8559 -1.9935 -1.4395 Co
-7.2310 -3.2760 -5.6754 Co
-9.6145 -3.7974 -5.0902 Co
-9.0624 -2.0285 -6.7819 Co
-8.5620 -1.6303 -4.3891 Co
-3.8453 -0.6604 -5.5284 Co
-3.3428 -0.2605 -3.1256 Co
-5.1819 0.9922 -4.2367 Co
-6.6746 -0.5116 -6.2519 Mg
```

Computed properties:
ΔH_f (0 K), meV per atom: -221
SG: R3m (160)

The following is a PBE-GGA calculation of an optimized crystal structure of MgMn2As, from Alexandria via LeMat-Bulk.

POSCAR file:
```
MgMn2As
1.0
3.3615 0.0000 0.0000
0.0000 3.3228 0.3105
0.0000 2.7944 5.9799
Mn Mg As
2 1 1
Cartesian
1.6807 1.5245 1.6139 Mn
0.0000 3.3110 0.4371 Mn
1.6807 4.5851 4.7627 Mg
0.0000 3.0781 2.9324 As
```

Computed properties:
ΔH_f (0 K), meV per atom: 54
SG: Pmm2 (25)

The following is a PBE-GGA calculation of an optimized crystal structure of Pr2Nd3ScSe6, from Alexandria via LeMat-Bulk.

POSCAR file:
```
Pr2Nd3ScSe6
1.0
4.1722 0.0000 0.0000
0.0000 8.4230 0.3285
-2.0861 -2.3973 8.7881
Nd Se Pr Sc
3 6 2 1
Cartesian
0.0000 6.2151 3.3106 Nd
2.0861 -0.1895 5.8061 Nd
2.0861 4.2115 0.1643 Nd
0.0000 6.1329 6.3463 Se
2.0861 -0.4492 8.8096 Se
0.0000 1.8886 6.0205 Se
0.0000 6.4749 0.3071 Se
2.0861 -0.1072 2.7703 Se
2.0861 4.1371 3.0962 Se
0.0000 2.0132 3.0499 Pr
2.0861 4.0125 6.0667 Pr
2.0861 0.0000 0.0000 Sc
```

Computed properties:
Formation energy without anion corrections, eV/atom: -1.778
SG: C2/m (12)

Total energy in eV per atom, matching the order above: -4.726 -4.129 -4.703 -2.651 -9.421 -2.739 -3.513 -6.209 -6.092 -6.036